[1]
First-principles (GGA-PBE) data for a relaxed Rb2CaPuO6 crystal, as listed in the Alexandria database.

```
Rb2CaPuO6
1.0
6.183 -0.001 0.001
0.001 6.183 0.001
3.090 3.091 4.374
Rb O Pu Ca
2 6 1 1
direct
0.750 0.250 0.500 Rb
0.250 0.750 0.500 Rb
0.727 0.273 0.000 O
0.727 0.727 0.546 O
0.727 0.727 0.000 O
0.273 0.727 0.000 O
0.273 0.273 0.000 O
0.273 0.273 0.454 O
0.500 0.500 0.000 Pu
0.000 0.000 0.000 Ca
```

Properties
Energy, eV per atom: -7.05
Formation energy from raw total energies, meV/atom: -2247
Symmetry: No. 225

=====

[2]
First-principles (GGA-PBE) data for a relaxed Rb2CaPuO4 crystal, as listed in the Alexandria database.

```
Rb2CaPuO4
1.0
-0.825 -2.821 -2.040
5.936 -1.129 -0.839
-1.964 -3.452 5.568
Rb Ca O Pu
2 1 4 1
direct
0.500 0.000 0.500 Rb
0.000 0.500 0.500 Rb
0.500 0.500 0.000 Ca
0.000 0.753 0.174 O
0.500 0.788 0.821 O
0.500 0.212 0.179 O
0.000 0.247 0.826 O
0.000 0.000 0.000 Pu
```

Properties
Energy, eV per atom: -7.14
Formation energy from raw total energies, meV/atom: -2382
Symmetry: No. 10